First-principles (PBE-GGA) data for Ca4Np3CuN8 after structural relaxation, as listed in the Alexandria database.

Values from the calculation:
The spin magnetization is 0.37 μB per atom. The total energy comes out at -8.287 eV/atom. The calculated volume comes out at 229.1 Å³/f.u.

```
data_Ca4Np3CuN8
_symmetry_space_group_name_H-M 'R -3 m'
_symmetry_Int_Tables_number 166
_symmetry_space_group_name_Hall '-R 3 2"'
_cell_length_a 6.8399
_cell_length_b 6.8399
_cell_length_c 16.9565
_cell_angle_alpha 90.00
_cell_angle_beta 90.00
_cell_angle_gamma 120.00
loop_
_atom_site_label
_atom_site_fract_x
_atom_site_fract_y
_atom_site_fract_z
Ca1 0.0000 0.0000 0.0000
Ca2 0.0000 0.5000 0.0000
Np1 0.0000 0.5000 0.5000
Cu1 0.0000 0.0000 0.5000
N1 0.0000 0.0000 0.2411
N2 0.0272 0.5136 0.7615
```